(1)
Here is a relaxed structure of Pm2DyAs3Rh4 from Alexandria via LeMat-Bulk. Energies are from PBE.

Calculated values
* Fermi-level density of states: 6.19 states/eV/f.u.
* formation enthalpy at 0 K: -0.966 eV per atom

POSCAR file:
```
Pm2DyAs3Rh4
1.0
-1.7213 0.3926 -3.7292
1.5130 -3.6818 -1.0860
-9.5059 -5.0439 3.8567
Rh Pm As Dy
4 2 3 1
Direct
0.5000 0.0000 0.6598
0.0000 0.5000 0.3402
0.5000 0.5000 0.0000
0.0000 0.0000 0.0000
0.5000 0.0000 0.2242
0.0000 0.5000 0.7758
0.5000 0.0000 0.8718
0.0000 0.0000 0.5000
0.0000 0.5000 0.1282
0.5000 0.5000 0.5000
```

(2)
Here is a relaxed structure of PmDyAsS from Alexandria via LeMat-Bulk. Energies are from PBE.

Calculated values
* Fermi-level density of states: 1.13 states/eV/f.u.
* E_form (uncorrected): -7.09 eV/f.u.

POSCAR file:
```
PmDyAsS
1.0
-2.2293 -1.0913 -3.2598
-2.1342 -2.6053 2.3317
-3.7796 4.1599 1.1921
Pm As S Dy
1 1 1 1
Direct
0.5000 0.3914 0.0926
0.0000 0.8914 0.0923
0.5000 0.3916 0.5926
0.0000 0.8916 0.5923
```

(3)
Here is a relaxed structure of PmDySc2As4 from Alexandria via LeMat-Bulk. Energies are from PBE.

Calculated values
* Fermi-level density of states: 0.96 states/eV/f.u.
* formation enthalpy at 0 K: -1.432 eV per atom

POSCAR file:
```
PmDySc2As4
1.0
-1.8895 -3.1744 -1.6381
5.9042 -1.8667 -3.1932
3.6413 -4.3033 4.1390
Pm As Dy Sc
1 4 1 2
Direct
0.5000 0.5000 0.0000
0.5000 0.2327 0.7523
0.0000 0.7700 0.7399
0.5000 0.7673 0.2477
0.0000 0.2300 0.2601
0.0000 0.5000 0.5000
0.0000 0.0000 0.0000
0.5000 0.0000 0.5000
```

(4)
Here is a relaxed structure of PmDy2ScAs4 from Alexandria via LeMat-Bulk. Energies are from PBE.

Calculated values
* Fermi-level density of states: 0.80 states/eV/f.u.
* formation enthalpy at 0 K: -1.463 eV per atom

POSCAR file:
```
PmDy2ScAs4
1.0
4.1014 0.0000 0.0000
0.0000 7.0868 0.1219
0.0000 -2.4802 6.6487
As Dy Sc Pm
4 2 1 1
Direct
0.5000 0.2381 0.2431
0.5000 0.7619 0.7569
0.0000 0.7597 0.2503
0.0000 0.2403 0.7497
0.5000 0.0000 0.5000
0.0000 0.5000 0.5000
0.0000 0.0000 0.0000
0.5000 0.5000 0.0000
```

(5)
Here is a relaxed structure of PmDyAsSe from Alexandria via LeMat-Bulk. Energies are from PBE.

Calculated values
* Fermi-level density of states: 1.56 states/eV/f.u.
* E_form (uncorrected): -6.89 eV/f.u.

POSCAR file:
```
PmDyAsSe
1.0
4.1525 0.0000 0.0000
2.0762 3.5962 0.0000
2.0762 1.1987 6.8375
Se Pm As Dy
1 1 1 1
Direct
0.6970 0.6970 0.9089
0.9402 0.9402 0.1795
0.1911 0.1911 0.4266
0.4481 0.4481 0.6558
```

(6)
Here is a relaxed structure of PmSm2Dy3As6 from Alexandria via LeMat-Bulk. Energies are from PBE.

Calculated values
* Fermi-level density of states: 1.85 states/eV/f.u.
* formation enthalpy at 0 K: -1.529 eV per atom

POSCAR file:
```
PmSm2Dy3As6
1.0
4.1725 0.0000 0.0000
0.0000 8.3334 0.3010
-2.0863 -2.3981 8.7654
Dy As Sm Pm
3 6 2 1
Direct
0.8334 0.1668 0.6668
0.1666 0.8332 0.3332
0.5000 0.5000 0.0000
0.3316 0.9197 0.6633
0.3346 0.4133 0.6693
0.6684 0.0803 0.3367
0.9987 0.2543 0.9975
0.6654 0.5867 0.3307
0.0013 0.7457 0.0025
0.1668 0.3336 0.3336
0.8332 0.6664 0.6664
0.5000 0.0000 0.0000
```

(7)
Here is a relaxed structure of Pm2Sm3DyAs6 from Alexandria via LeMat-Bulk. Energies are from PBE.

Calculated values
* Fermi-level density of states: 1.75 states/eV/f.u.
* formation enthalpy at 0 K: -1.526 eV per atom

POSCAR file:
```
Pm2Sm3DyAs6
1.0
-1.0357 -2.9089 2.8607
4.1331 -5.8329 -4.4348
6.9393 4.7355 4.2308
As Sm Pm Dy
6 3 2 1
Direct
0.3336 0.4159 0.6672
0.6650 0.0813 0.3301
0.3350 0.9187 0.6699
0.9993 0.2455 0.9986
0.6664 0.5841 0.3328
0.0007 0.7545 0.0014
0.1670 0.8338 0.3340
0.5000 0.5000 0.0000
0.8330 0.1662 0.6660
0.1660 0.3324 0.3320
0.8340 0.6676 0.6680
0.5000 0.0000 0.0000
```

(8)
Here is a relaxed structure of Pm3SmDy2As6 from Alexandria via LeMat-Bulk. Energies are from PBE.

Calculated values
* Fermi-level density of states: 1.75 states/eV/f.u.
* formation enthalpy at 0 K: -1.527 eV per atom

POSCAR file:
```
Pm3SmDy2As6
1.0
4.1971 0.0000 0.0000
0.0000 8.3818 0.3013
-2.0985 -2.4119 8.8163
Pm As Dy Sm
3 6 2 1
Direct
0.8336 0.1674 0.6672
0.5000 0.5000 0.0000
0.1664 0.8326 0.3328
0.0020 0.2501 0.0039
0.3317 0.4211 0.6635
0.6666 0.0880 0.3332
0.6683 0.5789 0.3365
0.3334 0.9120 0.6668
0.9980 0.7499 0.9961
0.8328 0.6663 0.6656
0.1672 0.3337 0.3344
0.5000 0.0000 0.0000
```

(9)
Here is a relaxed structure of PmSmDy2As4 from Alexandria via LeMat-Bulk. Energies are from PBE.

Calculated values
* Fermi-level density of states: 0.85 states/eV/f.u.
* formation enthalpy at 0 K: -1.530 eV per atom

POSCAR file:
```
PmSmDy2As4
1.0
-3.4731 0.2621 -2.3028
-0.0483 -7.1863 -0.7450
-3.7982 -2.9553 5.3921
As Pm Dy Sm
4 1 2 1
Direct
0.0000 0.2437 0.2515
0.5000 0.2431 0.7529
0.0000 0.7563 0.7485
0.5000 0.7569 0.2471
0.0000 0.5000 0.5000
0.5000 0.0000 0.5000
0.0000 0.0000 0.0000
0.5000 0.5000 0.0000
```

(10)
Here is a relaxed structure of Tb2PmDy3As6 from Alexandria via LeMat-Bulk. Energies are from PBE.

Calculated values
* Fermi-level density of states: 1.80 states/eV/f.u.
* formation enthalpy at 0 K: -1.534 eV per atom

POSCAR file:
```
Tb2PmDy3As6
1.0
-4.3990 4.0811 -3.9436
1.0394 -6.8858 -1.7503
-4.0811 -0.8548 5.8450
As Tb Dy Pm
6 2 3 1
Direct
0.2523 0.2523 0.7470
0.4211 0.0845 0.2534
0.9155 0.5789 0.7466
0.5789 0.9155 0.7466
0.0845 0.4211 0.2534
0.7477 0.7477 0.2530
0.3331 0.6669 0.0000
0.6669 0.3331 0.0000
0.8341 0.1659 0.5000
0.5000 0.5000 0.5000
0.1659 0.8341 0.5000
0.0000 0.0000 0.0000
```

(11)
Here is a relaxed structure of TbPm2DyAs4 from Alexandria via LeMat-Bulk. Energies are from PBE.

Calculated values
* Fermi-level density of states: 0.82 states/eV/f.u.
* formation enthalpy at 0 K: -1.531 eV per atom

POSCAR file:
```
TbPm2DyAs4
1.0
4.1865 0.0000 0.0000
0.0000 7.2421 -0.1424
0.0000 2.5493 6.7833
As Pm Tb Dy
4 2 1 1
Direct
0.5000 0.2569 0.7472
0.5000 0.7431 0.2528
0.0000 0.7435 0.7516
0.0000 0.2565 0.2484
0.0000 0.0000 0.0000
0.5000 0.0000 0.5000
0.5000 0.5000 0.0000
0.0000 0.5000 0.5000
```

(12)
Here is a relaxed structure of TbPmDy2As4 from Alexandria via LeMat-Bulk. Energies are from PBE.

Calculated values
* Fermi-level density of states: 0.87 states/eV/f.u.
* formation enthalpy at 0 K: -1.532 eV per atom

POSCAR file:
```
TbPmDy2As4
1.0
-4.1124 0.5494 -0.2479
-0.1956 -4.1222 -5.8916
-1.0314 -6.8601 1.9062
Pm Tb Dy As
1 1 2 4
Direct
0.5000 0.5000 0.0000
0.0000 0.5000 0.5000
0.0000 0.0000 0.0000
0.5000 0.0000 0.5000
0.0000 0.7553 0.7455
0.5000 0.7533 0.2516
0.0000 0.2447 0.2545
0.5000 0.2467 0.7484
```

(13)
Here is a relaxed structure of TbPm3Dy2As6 from Alexandria via LeMat-Bulk. Energies are from PBE.

Calculated values
* Fermi-level density of states: 1.84 states/eV/f.u.
* formation enthalpy at 0 K: -1.529 eV per atom

POSCAR file:
```
TbPm3Dy2As6
1.0
4.1844 0.0000 0.0000
0.0000 8.3559 0.3014
-2.0922 -2.4033 8.7898
As Pm Dy Tb
6 3 2 1
Direct
0.3346 0.9125 0.6692
0.6683 0.5791 0.3366
0.9984 0.7532 0.9967
0.0016 0.2468 0.0033
0.3317 0.4209 0.6634
0.6654 0.0875 0.3308
0.5000 0.5000 0.0000
0.1666 0.8331 0.3333
0.8334 0.1669 0.6667
0.1667 0.3333 0.3335
0.8333 0.6667 0.6665
0.5000 0.0000 0.0000
```

(14)
Here is a relaxed structure of Tb2PmDyAs4 from Alexandria via LeMat-Bulk. Energies are from PBE.

Calculated values
* Fermi-level density of states: 0.84 states/eV/f.u.
* formation enthalpy at 0 K: -1.533 eV per atom

POSCAR file:
```
Tb2PmDyAs4
1.0
-1.4125 -1.8911 3.4270
2.2161 -6.3460 -2.5885
6.7746 -1.2223 2.1178
As Tb Dy Pm
4 2 1 1
Direct
0.0000 0.7536 0.7455
0.0000 0.2464 0.2545
0.5000 0.7513 0.2528
0.5000 0.2487 0.7472
0.0000 0.0000 0.0000
0.5000 0.0000 0.5000
0.0000 0.5000 0.5000
0.5000 0.5000 0.0000
```

(15)
Here is a relaxed structure of Tb3Pm2DyAs6 from Alexandria via LeMat-Bulk. Energies are from PBE.

Calculated values
* Fermi-level density of states: 1.76 states/eV/f.u.
* formation enthalpy at 0 K: -1.532 eV per atom

POSCAR file:
```
Tb3Pm2DyAs6
1.0
4.1708 0.0000 0.0000
0.0000 8.3307 0.2989
-2.0854 -2.3988 8.7621
As Tb Pm Dy
6 3 2 1
Direct
0.6653 0.5867 0.3307
0.3339 0.9214 0.6678
0.3347 0.4133 0.6693
0.0017 0.7519 0.0034
0.6661 0.0786 0.3322
0.9983 0.2481 0.9966
0.5000 0.5000 0.0000
0.1670 0.8337 0.3340
0.8330 0.1663 0.6660
0.8340 0.6677 0.6680
0.1660 0.3323 0.3320
0.5000 0.0000 0.0000
```

(16)
Here is a relaxed structure of Tb2Pm3DyAs6 from Alexandria via LeMat-Bulk. Energies are from PBE.

Calculated values
* Fermi-level density of states: 1.84 states/eV/f.u.
* formation enthalpy at 0 K: -1.531 eV per atom

POSCAR file:
```
Tb2Pm3DyAs6
1.0
4.1874 0.0000 0.0000
0.0000 8.3624 0.3010
-2.0937 -2.4057 8.7963
Pm As Tb Dy
3 6 2 1
Direct
0.1668 0.8333 0.3335
0.5000 0.5000 0.0000
0.8332 0.1667 0.6665
0.3350 0.9136 0.6701
0.6680 0.5798 0.3361
0.3320 0.4202 0.6639
0.6650 0.0864 0.3299
0.0013 0.2457 0.0025
0.9987 0.7543 0.9975
0.8335 0.6669 0.6670
0.1665 0.3331 0.3330
0.5000 0.0000 0.0000
```

(17)
Here is a relaxed structure of Pm2DyThAs4 from Alexandria via LeMat-Bulk. Energies are from PBE.

Calculated values
* Fermi-level density of states: 1.52 states/eV/f.u.
* formation enthalpy at 0 K: -1.518 eV per atom

POSCAR file:
```
Pm2DyThAs4
1.0
-3.8512 1.1553 -1.2807
-2.2911 0.0524 6.9368
1.0401 6.6241 2.8478
Pm As Dy Th
2 4 1 1
Direct
0.0000 0.0000 0.0000
0.5000 0.0000 0.5000
0.0000 0.2530 0.2522
0.5000 0.7444 0.2543
0.0000 0.7470 0.7478
0.5000 0.2556 0.7457
0.0000 0.5000 0.5000
0.5000 0.5000 0.0000
```

(18)
Here is a relaxed structure of PmDy2Th3As6 from Alexandria via LeMat-Bulk. Energies are from PBE.

Calculated values
* Fermi-level density of states: 5.31 states/eV/f.u.
* formation enthalpy at 0 K: -1.471 eV per atom

POSCAR file:
```
PmDy2Th3As6
1.0
4.2166 0.0000 0.0000
0.0000 8.3837 0.3179
-2.1083 -2.3926 8.8453
Dy As Th Pm
2 6 3 1
Direct
0.8330 0.6667 0.6661
0.1670 0.3333 0.3339
0.6672 0.0885 0.3345
0.3328 0.9115 0.6655
0.3316 0.4210 0.6631
0.9978 0.7487 0.9957
0.6684 0.5790 0.3369
0.0022 0.2513 0.0043
0.5000 0.5000 0.0000
0.8340 0.1672 0.6679
0.1660 0.8328 0.3321
0.5000 0.0000 0.0000
```

(19)
Here is a relaxed structure of PmDy2ThAs4 from Alexandria via LeMat-Bulk. Energies are from PBE.

Calculated values
* Fermi-level density of states: 1.53 states/eV/f.u.
* formation enthalpy at 0 K: -1.517 eV per atom

POSCAR file:
```
PmDy2ThAs4
1.0
-1.4428 -3.4403 -1.9092
6.7433 -1.7714 -1.9039
2.9710 -4.1170 5.1736
As Pm Th Dy
4 1 1 2
Direct
0.5000 0.2427 0.7522
0.0000 0.7568 0.7468
0.5000 0.7573 0.2478
0.0000 0.2432 0.2532
0.5000 0.5000 0.0000
0.0000 0.5000 0.5000
0.5000 0.0000 0.5000
0.0000 0.0000 0.0000
```

(20)
Here is a relaxed structure of PmDyTh2As4 from Alexandria via LeMat-Bulk. Energies are from PBE.

Calculated values
* Fermi-level density of states: 3.99 states/eV/f.u.
* formation enthalpy at 0 K: -1.471 eV per atom

POSCAR file:
```
PmDyTh2As4
1.0
4.2277 0.0000 0.0000
0.0000 7.2768 -0.1242
0.0000 2.5799 6.8518
As Dy Th Pm
4 1 2 1
Direct
0.0000 0.2522 0.2524
0.5000 0.2548 0.7452
0.5000 0.7452 0.2548
0.0000 0.7478 0.7476
0.0000 0.5000 0.5000
0.5000 0.0000 0.5000
0.0000 0.0000 0.0000
0.5000 0.5000 0.0000
```